(1)
## TbTlAgCl6 (PBE-GGA)

Data for a relaxed TbTlAgCl6 crystal.

Properties
The density of states at the Fermi level comes out at 6.351 states/eV/f.u. For the formation energy without anion corrections, the calculation gives -12.1 eV/f.u. The magnetization is 0.00 Bohr magnetons per cell.

Geometry as CIF:
```
data_TbTlAgCl6
_chemical_formula_sum 'Tb2 Tl2 Ag2 Cl12'
_cell_length_a 6.8738
_cell_length_b 6.8738
_cell_length_c 13.3381
_cell_angle_alpha 90.00
_cell_angle_beta 90.00
_cell_angle_gamma 120.00
_symmetry_space_group_name_H-M 'P -3 1 c'
_symmetry_Int_Tables_number 163
_symmetry_space_group_name_Hall '-P 3 2c'
loop_
_atom_site_label
_atom_site_type_symbol
_atom_site_fract_x
_atom_site_fract_y
_atom_site_fract_z
Tb1 Tb 0.3333 0.6667 0.2500
Tl1 Tl 0.0000 0.0000 0.0000
Ag1 Ag 0.3333 0.6667 0.7500
Cl1 Cl 0.9996 0.3596 0.1366
```

***

(2)
## CaHg2RuPt (PBE-GGA)

Data for a relaxed CaHg2RuPt crystal.

Properties
The density of states at the Fermi level comes out at 4.777 states/eV/f.u. The magnetization is 0.85 Bohr magnetons per cell. The formation enthalpy at 0 K is 1.505 eV per atom.

Geometry as CIF:
```
data_CaHg2RuPt
_chemical_formula_sum 'Ca1 Hg2 Ru1 Pt1'
_cell_length_a 5.350
_cell_length_b 5.350
_cell_length_c 4.677
_cell_angle_alpha 90.00
_cell_angle_beta 90.00
_cell_angle_gamma 90.00
_symmetry_space_group_name_H-M 'P 4/m m m'
_symmetry_Int_Tables_number 123
_symmetry_space_group_name_Hall '-P 4 2'
loop_
_atom_site_label
_atom_site_type_symbol
_atom_site_fract_x
_atom_site_fract_y
_atom_site_fract_z
Ca1 Ca 0.000 0.000 0.000
Hg1 Hg 0.000 0.500 0.000
Ru1 Ru 0.000 0.000 0.500
Pt1 Pt 0.500 0.500 0.500
```

***

(3)
## PmTmSc6 (PBE-GGA)

Data for a relaxed PmTmSc6 crystal.

Properties
The density of states at the Fermi level comes out at 15.327 states/eV/f.u. The magnetization is 0.00 Bohr magnetons per cell. The formation enthalpy at 0 K is 0.060 eV per atom.

Geometry as CIF:
```
data_PmTmSc6
_chemical_formula_sum 'Pm1 Tm1 Sc6'
_cell_length_a 6.683
_cell_length_b 6.683
_cell_length_c 4.702
_cell_angle_alpha 90.00
_cell_angle_beta 90.00
_cell_angle_gamma 90.00
_symmetry_space_group_name_H-M 'P 4/m m m'
_symmetry_Int_Tables_number 123
_symmetry_space_group_name_Hall '-P 4 2'
loop_
_atom_site_label
_atom_site_type_symbol
_atom_site_fract_x
_atom_site_fract_y
_atom_site_fract_z
Pm1 Pm 0.000 0.000 0.000
Tm1 Tm 0.500 0.500 0.000
Sc1 Sc 0.000 0.500 0.000
Sc2 Sc 0.252 0.252 0.500
```

***

(4)
## SnAs3H (PBE-GGA)

Data for a relaxed SnAs3H crystal.

Properties
The density of states at the Fermi level comes out at 2.820 states/eV/f.u. The calculated total energy is -3.738 eV/atom. The magnetization is 0.00 Bohr magnetons per cell.

Geometry as CIF:
```
data_SnAs3H
_chemical_formula_sum 'Sn1 As3 H1'
_cell_length_a 4.456
_cell_length_b 4.456
_cell_length_c 4.456
_cell_angle_alpha 90.00
_cell_angle_beta 90.00
_cell_angle_gamma 90.00
_symmetry_space_group_name_H-M 'P m -3 m'
_symmetry_Int_Tables_number 221
_symmetry_space_group_name_Hall '-P 4 2 3'
loop_
_atom_site_label
_atom_site_type_symbol
_atom_site_fract_x
_atom_site_fract_y
_atom_site_fract_z
Sn1 Sn 0.000 0.000 0.000
As1 As 0.000 0.500 0.500
H1 H 0.500 0.500 0.500
```

***

(5)
## Pr3Sm4Th (PBE-GGA)

Data for a relaxed Pr3Sm4Th crystal.

Properties
The density of states at the Fermi level comes out at 11.479 states/eV/f.u. The magnetization is 0.00 Bohr magnetons per cell. The formation enthalpy at 0 K is 0.219 eV per atom.

Geometry as CIF:
```
data_Pr3Sm4Th
_chemical_formula_sum 'Pr6 Sm8 Th2'
_cell_length_a 25.607
_cell_length_b 3.503
_cell_length_c 6.291
_cell_angle_alpha 90.00
_cell_angle_beta 95.54
_cell_angle_gamma 90.00
_symmetry_space_group_name_H-M 'C 1 2/m 1'
_symmetry_Int_Tables_number 12
loop_
_symmetry_equiv_pos_as_xyz
'x,y,z'
'-x,-y,-z'
'-x,y,-z'
'x,-y,z'
'x+1/2,y+1/2,z'
'-x+1/2,-y+1/2,-z'
'-x+1/2,y+1/2,-z'
'x+1/2,-y+1/2,z'
loop_
_atom_site_label
_atom_site_type_symbol
_atom_site_fract_x
_atom_site_fract_y
_atom_site_fract_z
Pr1 Pr 0.000 0.000 0.000
Pr2 Pr 0.143 0.000 0.261
Sm1 Sm 0.106 0.000 0.742
Sm2 Sm 0.223 0.500 0.736
Th1 Th 0.000 0.500 0.500
```

***

(6)
## RbTlSiHg2 (PBE-GGA)

Data for a relaxed RbTlSiHg2 crystal.

Properties
The density of states at the Fermi level comes out at 3.665 states/eV/f.u. For the formation energy without anion corrections, the calculation gives 0.5 eV/f.u. The magnetization is 0.00 Bohr magnetons per cell.

Geometry as CIF:
```
data_RbTlSiHg2
_chemical_formula_sum 'Rb1 Tl1 Si1 Hg2'
_cell_length_a 5.548
_cell_length_b 5.548
_cell_length_c 5.449
_cell_angle_alpha 90.00
_cell_angle_beta 90.00
_cell_angle_gamma 90.00
_symmetry_space_group_name_H-M 'P 4/m m m'
_symmetry_Int_Tables_number 123
_symmetry_space_group_name_Hall '-P 4 2'
loop_
_atom_site_label
_atom_site_type_symbol
_atom_site_fract_x
_atom_site_fract_y
_atom_site_fract_z
Rb1 Rb 0.000 0.000 0.000
Tl1 Tl 0.500 0.500 0.000
Si1 Si 0.500 0.500 0.500
Hg1 Hg 0.000 0.500 0.500
```

***

(7)
## Cr2RhPb (PBE-GGA)

Data for a relaxed Cr2RhPb crystal.

Properties
The density of states at the Fermi level comes out at 4.277 states/eV/f.u. The magnetization is 11.24 Bohr magnetons per cell. The formation enthalpy at 0 K is 0.432 eV per atom.

Geometry as CIF:
```
data_Cr2RhPb
_chemical_formula_sum 'Cr4 Rh2 Pb2'
_cell_length_a 4.035
_cell_length_b 4.035
_cell_length_c 7.971
_cell_angle_alpha 90.00
_cell_angle_beta 90.00
_cell_angle_gamma 90.00
_symmetry_space_group_name_H-M 'I -4 m 2'
_symmetry_Int_Tables_number 119
_symmetry_space_group_name_Hall 'I -4 -2'
loop_
_atom_site_label
_atom_site_type_symbol
_atom_site_fract_x
_atom_site_fract_y
_atom_site_fract_z
Cr1 Cr 0.000 0.000 0.000
Cr2 Cr 0.000 0.500 0.250
Rh1 Rh 0.000 0.000 0.500
Pb1 Pb 0.000 0.500 0.750
```

***

(8)
## Pm4Sm4Cd (PBE-GGA)

Data for a relaxed Pm4Sm4Cd crystal.

Properties
The density of states at the Fermi level comes out at 14.172 states/eV/f.u. The magnetization is 0.00 Bohr magnetons per cell. The formation enthalpy at 0 K is -0.015 eV per atom.

Geometry as CIF:
```
data_Pm4Sm4Cd
_chemical_formula_sum 'Pm8 Sm8 Cd2'
_cell_length_a 10.761
_cell_length_b 10.761
_cell_length_c 5.063
_cell_angle_alpha 90.00
_cell_angle_beta 90.00
_cell_angle_gamma 90.00
_symmetry_space_group_name_H-M 'I 4/m m m'
_symmetry_Int_Tables_number 139
_symmetry_space_group_name_Hall '-I 4 2'
loop_
_atom_site_label
_atom_site_type_symbol
_atom_site_fract_x
_atom_site_fract_y
_atom_site_fract_z
Pm1 Pm 0.000 0.332 0.000
Sm1 Sm 0.164 0.164 0.500
Cd1 Cd 0.000 0.000 0.000
```

***

(9)
## Ti2SbTe (PBE-GGA)

Data for a relaxed Ti2SbTe crystal.

Properties
The density of states at the Fermi level comes out at 3.732 states/eV/f.u. For the formation energy without anion corrections, the calculation gives -2.2 eV/f.u. The magnetization is 0.00 Bohr magnetons per cell.

Geometry as CIF:
```
data_Ti2SbTe
_chemical_formula_sum 'Ti8 Sb4 Te4'
_cell_length_a 7.510
_cell_length_b 6.875
_cell_length_c 6.647
_cell_angle_alpha 90.00
_cell_angle_beta 90.03
_cell_angle_gamma 90.00
_symmetry_space_group_name_H-M 'P 1 21/c 1'
_symmetry_Int_Tables_number 14
loop_
_symmetry_equiv_pos_as_xyz
'x,y,z'
'-x,-y,-z'
'-x,y+1/2,-z+1/2'
'x,-y+1/2,z+1/2'
loop_
_atom_site_label
_atom_site_type_symbol
_atom_site_fract_x
_atom_site_fract_y
_atom_site_fract_z
Ti1 Ti 0.125 0.188 0.006
Ti2 Ti 0.373 0.689 0.497
Sb1 Sb 0.377 0.079 0.297
Te1 Te 0.126 0.578 0.205
```

***

(10)
## Pm3P2Rh9Pb (PBE-GGA)

Data for a relaxed Pm3P2Rh9Pb crystal.

Properties
The density of states at the Fermi level comes out at 5.517 states/eV/f.u. The magnetization is 0.00 Bohr magnetons per cell. The formation enthalpy at 0 K is -0.585 eV per atom.

Geometry as CIF:
```
data_Pm3P2Rh9Pb
_chemical_formula_sum 'Pm3 P2 Rh9 Pb1'
_cell_length_a 6.0953
_cell_length_b 6.0953
_cell_length_c 9.4873
_cell_angle_alpha 90.00
_cell_angle_beta 90.00
_cell_angle_gamma 120.00
_symmetry_space_group_name_H-M 'P -3 m 1'
_symmetry_Int_Tables_number 164
_symmetry_space_group_name_Hall '-P 3 2"'
loop_
_atom_site_label
_atom_site_type_symbol
_atom_site_fract_x
_atom_site_fract_y
_atom_site_fract_z
Pm1 Pm 0.0000 0.0000 0.0000
Pm2 Pm 0.3333 0.6667 0.7225
P1 P 0.3333 0.6667 0.1563
Rh1 Rh 0.0000 0.5000 0.0000
Rh2 Rh 0.1508 0.3017 0.2646
Pb1 Pb 0.0000 0.0000 0.5000
```